a.
First-principles (PBE) data for a relaxed AsP3 crystal, as listed in the Alexandria database.

Results
ρ in g/cm³: 3.376
Space group: No. 146

a b c (Å): 7.9359 7.9359 4.5404
angles (deg): 90.00 90.00 120.00
Positions (direct):
P 0.6958 0.8968 0.7380
P 0.2010 0.3042 0.7380
P 0.0292 0.5635 0.4046
P 0.4365 0.4657 0.4046
P 0.7698 0.1323 0.0713
P 0.5343 0.9708 0.4046
P 0.3625 0.2302 0.0713
P 0.1032 0.7990 0.7380
P 0.8677 0.6375 0.0713
As 0.0000 0.0000 0.4889
As 0.3333 0.6667 0.1555
As 0.6667 0.3333 0.8222

b.
First-principles (PBE) data for a relaxed AsP3 crystal, as listed in the Alexandria database.

Results
ρ in g/cm³: 3.557
Fermi-level density of states in states/eV/cell: 0.44
Space group: No. 6

a b c (Å): 4.1947 3.4586 5.6085
angles (deg): 90.00 105.66 90.00
Positions (direct):
P 0.5633 0.0000 0.2371
P 0.9288 0.5000 0.8247
P 0.5745 0.0000 0.8361
As 0.9568 0.5000 0.3992

c.
First-principles (PBE) data for a relaxed AsP3 crystal, as listed in the Alexandria database.

Results
ρ in g/cm³: 3.399
Fermi-level density of states in states/eV/cell: 1.71
Space group: No. 160

a b c (Å): 3.4717 3.4717 23.5659
angles (deg): 90.00 90.00 120.00
Positions (direct):
P 0.3333 0.6667 0.2710
P 0.6667 0.3333 0.3493
P 0.0000 0.0000 0.6044
P 0.6667 0.3333 0.7314
P 0.3333 0.6667 0.0647
P 0.3333 0.6667 0.6826
P 0.0000 0.0000 0.0160
P 0.0000 0.0000 0.3981
P 0.6667 0.3333 0.9377
As 0.6667 0.3333 0.5492
As 0.3333 0.6667 0.8826
As 0.0000 0.0000 0.2159

d.
First-principles (PBE) data for a relaxed AsP3 crystal, as listed in the Alexandria database.

Results
ρ in g/cm³: 2.776
Fermi-level density of states in states/eV/cell: 1.53
Space group: No. 38

a b c (Å): 5.2562 3.7125 10.2888
angles (deg): 90.00 90.00 90.00
Positions (direct):
P 0.2114 0.5000 0.9245
P 0.2114 0.0000 0.4245
P 0.7886 0.5000 0.9245
P 0.0000 0.0000 0.6036
P 0.7886 0.0000 0.4245
P 0.0000 0.5000 0.1036
As 0.5000 0.0000 0.8481
As 0.5000 0.5000 0.3481

Relative energies, meV per atom: a 8; b 43; c 0; d 313.

a.
First-principles (PBE) data for a relaxed AsP3 crystal, as listed in the Alexandria database.

Results
ρ in g/cm³: 4.084
Fermi-level density of states in states/eV/cell: 3.62
Space group: No. 139

a b c (Å): 12.4978 12.4978 12.4978
angles (deg): 164.67 164.67 21.75
Positions (direct):
P 0.1015 0.1015 0.0000
P 0.2500 0.7500 0.5000
P 0.8985 0.8985 0.0000
P 0.7500 0.2500 0.5000
P 0.0000 0.5000 0.5000
P 0.5000 0.0000 0.5000
As 0.3546 0.3546 0.0000
As 0.6454 0.6454 0.0000

b.
First-principles (PBE) data for a relaxed AsP3 crystal, as listed in the Alexandria database.

Results
ρ in g/cm³: 4.125
Fermi-level density of states in states/eV/cell: 1.62
Space group: No. 71

a b c (Å): 5.4035 5.4035 5.4035
angles (deg): 143.85 132.82 60.84
Positions (direct):
As 0.5000 0.0000 0.5000
P 0.1839 0.1839 0.0000
P 0.0000 0.5000 0.5000
P 0.8161 0.8161 0.0000

Relative energies, meV per atom: a 0; b 79.